No. 1
First-principles (meta-GGA SCAN) data for ZrGaIO2 at its PBEsol-relaxed geometry, as listed in Alexandria.

Calculated values
symmetry: No. 123
magnetization: 1.03 μB per formula unit
density: 6.425 g/cm³
raw formation energy: -2.00 eV/f.u.

Cell: 3.953 3.953 5.289 Å, 90.00 90.00 90.00°
Site moments in Bohr magnetons follow the coordinates.
Fractional coordinates of all 5 atoms:
1 Ga 0.000 0.000 0.000  0.00
2 O 0.000 0.500 0.000  0.00
3 O 0.500 0.000 0.000  0.00
4 I 0.000 0.000 0.500  0.00
5 Zr 0.500 0.500 0.500  0.72


No. 2
First-principles (meta-GGA SCAN) data for Ga3OsI at its PBEsol-relaxed geometry, as listed in Alexandria.

Calculated values
symmetry: No. 221
magnetization: 2.55 μB per formula unit
density: 5.273 g/cm³
raw formation energy: 10.54 eV/f.u.

Cell: 5.493 5.493 5.493 Å, 90.00 90.00 90.00°
Site moments in Bohr magnetons follow the coordinates.
Fractional coordinates of all 5 atoms:
1 Os 0.500 0.500 0.500  2.48
2 Ga 0.500 0.000 0.000  -0.03
3 Ga 0.000 0.000 0.500  -0.03
4 Ga 0.000 0.500 0.000  -0.03
5 I 0.000 0.000 0.000  0.00


No. 3
First-principles (meta-GGA SCAN) data for GaSbOsI2 at its PBEsol-relaxed geometry, as listed in Alexandria.

Calculated values
symmetry: No. 123
magnetization: 3.70 μB per formula unit
density: 7.058 g/cm³
raw formation energy: 7.71 eV/f.u.

Cell: 5.287 5.287 5.349 Å, 90.00 90.00 90.00°
Site moments in Bohr magnetons follow the coordinates.
Fractional coordinates of all 5 atoms:
1 Ga 0.000 0.000 0.000  0.00
2 Sb 0.000 0.000 0.500  -0.03
3 Os 0.500 0.500 0.500  2.85
4 I 0.000 0.500 0.000  0.07
5 I 0.500 0.000 0.000  0.07


No. 4
First-principles (meta-GGA SCAN) data for GaP2I at its PBEsol-relaxed geometry, as listed in Alexandria.

Calculated values
symmetry: No. 225
magnetization: 0.00 μB per formula unit
density: 5.602 g/cm³
raw formation energy: 4.04 eV/f.u.

Cell: 4.768 4.768 4.768 Å, 60.00 60.00 60.00°
Fractional coordinates of all 4 atoms:
1 P 0.750 0.750 0.750
2 P 0.250 0.250 0.250
3 Ga 0.000 0.000 0.000
4 I 0.500 0.500 0.500


No. 5
First-principles (meta-GGA SCAN) data for GaTePbI2 at its PBEsol-relaxed geometry, as listed in Alexandria.

Calculated values
symmetry: No. 123
magnetization: 0.00 μB per formula unit
density: 6.645 g/cm³
raw formation energy: -0.04 eV/f.u.

Cell: 5.509 5.465 5.465 Å, 90.00 90.00 90.00°
Fractional coordinates of all 5 atoms:
1 I 0.000 0.500 0.000
2 I 0.000 0.000 0.500
3 Te 0.500 0.000 0.000
4 Ga 0.000 0.000 0.000
5 Pb 0.500 0.500 0.500


No. 6
First-principles (meta-GGA SCAN) data for GaPdI2 at its PBEsol-relaxed geometry, as listed in Alexandria.

Calculated values
symmetry: No. 225
magnetization: 0.00 μB per formula unit
density: 7.471 g/cm³
raw formation energy: 1.33 eV/f.u.

Cell: 5.132 5.132 5.132 Å, 60.00 60.00 60.00°
Fractional coordinates of all 4 atoms:
1 Pd 0.500 0.500 0.500
2 Ga 0.000 0.000 0.000
3 I 0.750 0.750 0.750
4 I 0.250 0.250 0.250


No. 7
First-principles (meta-GGA SCAN) data for GaTe2PdI at its PBEsol-relaxed geometry, as listed in Alexandria.

Calculated values
symmetry: No. 123
magnetization: 0.00 μB per formula unit
density: 6.198 g/cm³
raw formation energy: 0.91 eV/f.u.

Cell: 5.212 5.212 5.505 Å, 90.00 90.00 90.00°
Fractional coordinates of all 5 atoms:
1 Te 0.500 0.000 0.000
2 Te 0.000 0.500 0.000
3 Pd 0.000 0.000 0.000
4 Ga 0.500 0.500 0.500
5 I 0.000 0.000 0.500


No. 8
First-principles (meta-GGA SCAN) data for GaPt3I at its PBEsol-relaxed geometry, as listed in Alexandria.

Calculated values
symmetry: No. 221
magnetization: 0.00 μB per formula unit
density: 12.916 g/cm³
raw formation energy: 3.59 eV/f.u.

Cell: 4.650 4.650 4.650 Å, 90.00 90.00 90.00°
Fractional coordinates of all 5 atoms:
1 Pt 0.500 0.000 0.000
2 Pt 0.000 0.500 0.000
3 Pt 0.000 0.000 0.500
4 Ga 0.000 0.000 0.000
5 I 0.500 0.500 0.500


What is the formula in the eighth record? GaPt3I


Which value of magnetization does entry 4 give? 0.00 μB per formula unit


What is the formula in the first record? ZrGaIO2